No. 1
## Mg9InSn2 (PBE)

Data for a relaxed Mg9InSn2 crystal.

Cell: 4.499 4.499 13.457 Å, 90.00 90.00 90.00°
Sites, in units of the cell vectors:
Mg 0.000 0.000 0.000
Mg 0.000 0.000 0.335
Mg 0.000 0.000 0.665
Mg 0.000 0.500 0.167
Mg 0.000 0.500 0.500
Mg 0.000 0.500 0.833
Mg 0.500 0.000 0.167
Mg 0.500 0.000 0.500
Mg 0.500 0.000 0.833
In 0.500 0.500 0.000
Sn 0.500 0.500 0.333
Sn 0.500 0.500 0.667

Calculated values
- E_form (meV per atom) = -108
- E (eV per atom) = -2.1995

---

No. 2
## Mg4In2Sn (PBE)

Data for a relaxed Mg4In2Sn crystal.

Cell: 6.204 6.204 4.948 Å, 90.00 90.00 111.17°
Sites, in units of the cell vectors:
Mg 0.000 0.500 0.500
Mg 0.233 0.233 0.000
Mg 0.500 0.000 0.500
Mg 0.767 0.767 0.000
In 0.249 0.751 0.000
In 0.751 0.249 0.000
Sn 0.500 0.500 0.500

Calculated values
- relative energy among the computed polymorphs (meV/atom) = 0
- E_form (meV per atom) = -29
- E (eV per atom) = -2.2941

---

No. 3
## Mg2InSn2 (PBE)

Data for a relaxed Mg2InSn2 crystal.

Cell: 6.990 6.990 6.990 Å, 139.75 139.75 58.23°
Sites, in units of the cell vectors:
Mg 0.250 0.750 0.500
Mg 0.750 0.250 0.500
In 0.000 0.000 0.000
Sn 0.386 0.386 0.000
Sn 0.614 0.614 0.000

Calculated values
- relative energy among the computed polymorphs (meV/atom) = 70
- E_form (meV per atom) = -9
- E (eV per atom) = -2.7961